Material: TeAsSe2F
Method: DFT, GGA-PBE
State: optimized geometry

ΔE to the lowest computed polymorph ... 0.316 eV/atom
D(E_F) ... 7.0 states/eV/cell
Raw total energy ... -2.691 eV per atom
Formation energy without anion corrections ... 635 meV/atom

Cell: 5.3297 5.3297 5.5212 Å, 90.00 90.00 90.00°
Space group P4/mmm (No. 123)
One atom of each set of equivalent atoms:
Te1 0.0000 0.0000 0.0000 [1 per cell]
As1 0.0000 0.0000 0.5000 [1 per cell]
Se1 0.0000 0.5000 0.0000 [2 per cell]
F1 0.5000 0.5000 0.5000 [1 per cell]


Material: AcYPdPb
Method: DFT, GGA-PBE
State: optimized geometry

D(E_F) ... 8.4 states/eV/cell
Raw total energy ... -5.413 eV per atom
Energy of formation ... -12.6 kcal/mol of atoms

Cell: 7.7220 7.7220 7.7220 Å, 90.00 90.00 90.00°
Space group F-43m (No. 216)
One atom of each set of equivalent atoms:
Ac1 0.0000 0.0000 0.0000 [4 per cell]
Y1 0.0000 0.0000 0.5000 [4 per cell]
Pd1 0.2500 0.2500 0.2500 [4 per cell]
Pb1 0.2500 0.2500 0.7500 [4 per cell]


Material: LiAcMgPd3
Method: DFT, GGA-PBE
State: optimized geometry

D(E_F) ... 7.1 states/eV/cell
Raw total energy ... -4.365 eV per atom
Energy of formation ... -11.5 kcal/mol of atoms

Cell: 6.0285 12.1107 6.8286 Å, 90.00 90.00 90.00°
Space group Cmcm (No. 63)
One atom of each set of equivalent atoms:
Li1 0.0000 0.0639 0.2500 [4 per cell]
Ac1 0.0000 0.3190 0.2500 [4 per cell]
Mg1 0.0000 0.3748 0.7500 [4 per cell]
Pd1 0.0000 0.1539 0.7500 [4 per cell]
Pd2 0.2402 0.5000 0.0000 [8 per cell]


Material: Ho4ScSb5
Method: DFT, GGA-PBE
State: optimized geometry

D(E_F) ... 2.5 states/eV/cell
Raw total energy ... -5.593 eV per atom
Formation energy without anion corrections ... -1068 meV/atom

Cell: 4.3359 4.3359 30.5858 Å, 90.00 90.00 90.00°
Space group I4/mmm (No. 139)
One atom of each set of equivalent atoms:
Ho1 0.0000 0.0000 0.0994 [4 per cell]
Ho2 0.0000 0.0000 0.3013 [4 per cell]
Sc1 0.0000 0.0000 0.5000 [2 per cell]
Sb1 0.0000 0.0000 0.0000 [2 per cell]
Sb2 0.0000 0.0000 0.2001 [4 per cell]
Sb3 0.0000 0.0000 0.4029 [4 per cell]


Question: Number 1 is which compound?
Answer: TeAsSe2F